# 1
Material: CaNd3Bi3
Method: DFT, PBE
State: relaxed

energy of formation = -740 meV per atom
crystal system = trigonal
DFT total energy = -4.73 eV/atom
N(E_F) = 0.679 states/eV/atom
mass density = 7.288 Mg/m³

Cell: 9.4661 9.4661 19.3744 Å, 90.00 90.00 120.00°
With the nearest neighbours (Å) after each atom.
Space group R-3 (No. 148, hexagonal axes)
Unique sites:
Ca1 0.0000 0.0000 0.1675 x6  6 Bi 3.30-3.38
Nd1 0.0047 0.2668 0.5856 x18  5 Bi 3.22-3.43
Bi1 0.0055 0.3868 0.4187 x18  5 Nd 3.22-3.43, 2 Ca 3.30-3.38

# 2
Material: In2AsAu
Method: DFT, PBE
State: relaxed

energy of formation = -29 meV per atom
crystal system = trigonal
DFT total energy = -3.38 eV/atom
N(E_F) = 0.498 states/eV/atom
energy relative to the lowest polymorph listed for this composition = 77.5 meV/atom
mass density = 8.486 Mg/m³

Cell: 4.2475 4.2475 18.8444 Å, 90.00 90.00 120.00°
With the nearest neighbours (Å) after each atom.
Space group R3m (No. 160, hexagonal axes)
Unique sites:
In1 0.0000 0.0000 0.0000 x3  3 As 2.95, 3 In 3.23
In2 0.0000 0.0000 0.2219 x3  3 Au 2.85
As1 0.0000 0.0000 0.7533 x3  3 Au 2.69, 3 In 2.95
Au1 0.0000 0.0000 0.4786 x3  3 As 2.69, 3 In 2.85

# 3
Material: AlSeCl2
Method: DFT, PBE
State: relaxed

crystal system = orthorhombic
uncorrected formation energy = -0.575 eV per atom
DFT total energy = -3.31 eV/atom
N(E_F) = 0.355 states/eV/atom
energy relative to the lowest polymorph listed for this composition = 332.7 meV/atom
mass density = 2.901 Mg/m³

Cell: 3.0466 5.7494 11.5587 Å, 90.00 90.00 90.00°
With the nearest neighbours (Å) after each atom.
Space group Immm (No. 71)
Unique sites:
Al1 0.0000 0.0000 0.0000 x2  4 Cl 2.28
Se1 0.0000 0.0000 0.5000 x2  2 Se 3.05, 4 Al 3.25, 4 Cl 3.34
Cl1 0.0000 0.5000 0.3537 x4  2 Al 2.28

# 4
Material: ReBi2Mo2
Method: DFT, PBE
State: relaxed

energy of formation = 1300 meV per atom
crystal system = tetragonal
DFT total energy = -7.07 eV/atom
N(E_F) = 1.636 states/eV/atom
energy relative to the lowest polymorph listed for this composition = 145.3 meV/atom
mass density = 13.153 Mg/m³

Cell: 7.6823 7.6823 3.4058 Å, 90.00 90.00 90.00°
With the nearest neighbours (Å) after each atom.
Space group P4/mbm (No. 127)
Unique sites:
Re1 0.0000 0.0000 0.0000 x2  4 Bi 2.85
Bi1 0.1701 0.3299 0.0000 x4  6 Mo 2.80-2.86, 2 Re 2.85
Mo1 0.1255 0.6255 0.5000 x4  1 Mo 2.73, 6 Bi 2.80-2.86

# 5
Material: Nd4Tl2InAg
Method: DFT, PBE
State: relaxed

energy of formation = -368 meV per atom
crystal system = trigonal
DFT total energy = -4.04 eV/atom
N(E_F) = 1.197 states/eV/atom
mass density = 8.657 Mg/m³

Cell: 5.4608 5.4608 26.9257 Å, 90.00 90.00 120.00°
With the nearest neighbours (Å) after each atom.
Space group R-3m (No. 166, hexagonal axes)
Unique sites:
Nd1 0.0000 0.0000 0.1222 x6  1 Ag 3.29, 4 Tl 3.32-3.43, 3 In 3.37
Nd2 0.0000 0.0000 0.3724 x6  4 Tl 3.30-3.37, 3 Ag 3.32, 1 In 3.44
Tl1 0.0000 0.0000 0.2497 x6  8 Nd 3.30-3.43
In1 0.0000 0.0000 0.5000 x3  8 Nd 3.37-3.44
Ag1 0.0000 0.0000 0.0000 x3  8 Nd 3.29-3.32

# 6
Material: Sr2SiB2
Method: DFT, PBE
State: relaxed

crystal system = tetragonal
uncorrected formation energy = 0.313 eV per atom
DFT total energy = -4.12 eV/atom
N(E_F) = 0.590 states/eV/atom
energy relative to the lowest polymorph listed for this composition = 46.3 meV/atom
mass density = 3.781 Mg/m³

Cell: 5.7793 5.7793 5.9149 Å, 90.00 90.00 90.00°
With the nearest neighbours (Å) after each atom.
Space group I4/mmm (No. 139)
Unique sites:
Sr1 0.0000 0.5000 0.2500 x4  2 Sr 2.96, 4 B 2.97, 4 Si 3.25
Si1 0.0000 0.0000 0.0000 x2  2 B 2.16
B1 0.0000 0.0000 0.3654 x4  1 B 1.59

# 7
Material: ZrMn2Ni9
Method: DFT, PBE
State: relaxed

energy of formation = -154 meV per atom
crystal system = trigonal
DFT total energy = -6.73 eV/atom
N(E_F) = 0.964 states/eV/atom
energy relative to the lowest polymorph listed for this composition = 40.1 meV/atom
mass density = 8.030 Mg/m³

Cell: 4.7392 4.7392 23.2619 Å, 90.00 90.00 120.00°
With the nearest neighbours (Å) after each atom.
Space group R-3m (No. 166, hexagonal axes)
Unique sites:
Zr1 0.0000 0.0000 0.0000 x3  6 Ni 2.74
Mn1 0.0000 0.0000 0.1437 x6  12 Ni 2.73-2.79, 3 Mn 2.94
Ni1 0.0000 0.0000 0.3343 x6  6 Ni 2.41-2.42
Ni2 0.0000 0.0000 0.5000 x3  6 Ni 2.34
Ni3 0.0047 0.5023 0.9143 x18  7 Ni 2.34-2.42

# 8
Material: DyHo4Tm2
Method: DFT, PBE
State: relaxed

energy of formation = 143 meV per atom
crystal system = monoclinic
DFT total energy = -4.41 eV/atom
N(E_F) = 1.655 states/eV/atom
energy relative to the lowest polymorph listed for this composition = 105.0 meV/atom
mass density = 8.938 Mg/m³

Cell: 6.1044 6.4404 11.3575 Å, 90.00 105.13 90.00°
With the nearest neighbours (Å) after each atom.
Space group P2_1/m (No. 11)
Unique sites:
Dy1 0.0239 0.2500 0.3545 x2  6 Ho 3.30-3.40, 2 Tm 3.36-3.51
Ho1 0.1609 0.2500 0.6556 x2  3 Tm 3.27-3.63, 3 Dy 3.30-3.40, 2 Ho 3.36
Ho2 0.2942 0.7500 0.9317 x2  1 Dy 3.32, 4 Tm 3.35-3.37, 4 Ho 3.44-3.50
Ho3 0.3521 0.5028 0.2123 x4  5 Ho 3.18-3.50, 1 Dy 3.31, 2 Tm 3.42-3.45
Tm1 0.1423 0.2500 0.9410 x2  9 Ho 3.27-3.45
Tm2 0.3925 0.7500 0.5021 x2  2 Dy 3.36-3.51, 6 Ho 3.39-3.63, 2 Tm 3.48